Record 1
{
  "formula": "Tl2CuTc",
  "functional": "GGA-PBE",
  "state": "relaxed",
  "polymorph_energy_mev_per_atom": 16.5,
  "spacegroup": "P4mm, No. 99",
  "crystal_system": "tetragonal",
  "n_ef_per_ev_cell": 3.45,
  "magnetic_moment_mub_per_fu": 1.65,
  "energy_ev_per_atom": -4.225,
  "lattice_angstrom": [[-1.261, 1.084, -2.756], [-2.227, -2.321, 0.105], [-4.804, 4.794, 4.084]],
  "species": ["Tc", "Cu", "Tl", "Tl"],
  "frac_coords": [[0.500, 0.500, 0.705], [0.000, 0.000, 0.545], [0.500, 0.500, 0.302], [0.000, 0.000, 0.948]]
}

Record 2
{
  "formula": "TlCuTc2",
  "functional": "GGA-PBE",
  "state": "relaxed",
  "polymorph_energy_mev_per_atom": 0.0,
  "spacegroup": "Pm, No. 6",
  "crystal_system": "monoclinic",
  "n_ef_per_ev_cell": 2.08,
  "magnetic_moment_mub_per_fu": 0.00,
  "energy_ev_per_atom": -6.472,
  "lattice_angstrom": [[3.025, 0.000, 0.000], [0.000, 3.019, 0.064], [0.000, 2.881, 7.265]],
  "species": ["Tl", "Tc", "Tc", "Cu"],
  "frac_coords": [[0.000, 0.490, 0.510], [0.000, 0.992, 0.008], [0.500, 0.294, 0.205], [0.500, 0.724, 0.777]]
}

Record 3
{
  "formula": "TlCuTc2",
  "functional": "GGA-PBE",
  "state": "relaxed",
  "polymorph_energy_mev_per_atom": 262.4,
  "spacegroup": "F-43m, No. 216",
  "crystal_system": "cubic",
  "n_ef_per_ev_cell": 2.34,
  "magnetic_moment_mub_per_fu": 0.09,
  "energy_ev_per_atom": -6.209,
  "lattice_angstrom": [[-4.256, -0.878, -1.112], [-2.029, -3.663, 1.608], [-3.248, 0.399, 3.068]],
  "species": ["Tc", "Tc", "Cu", "Tl"],
  "frac_coords": [[0.250, 0.250, 0.250], [0.000, 0.000, 0.000], [0.500, 0.500, 0.500], [0.750, 0.750, 0.750]]
}

What did the first record say?
{
  "formula": "Tl2CuTc",
  "functional": "GGA-PBE",
  "state": "relaxed",
  "polymorph_energy_mev_per_atom": 16.5,
  "spacegroup": "P4mm, No. 99",
  "crystal_system": "tetragonal",
  "n_ef_per_ev_cell": 3.45,
  "magnetic_moment_mub_per_fu": 1.65,
  "energy_ev_per_atom": -4.225,
  "lattice_angstrom": [[-1.261, 1.084, -2.756], [-2.227, -2.321, 0.105], [-4.804, 4.794, 4.084]],
  "species": ["Tc", "Cu", "Tl", "Tl"],
  "frac_coords": [[0.500, 0.500, 0.705], [0.000, 0.000, 0.545], [0.500, 0.500, 0.302], [0.000, 0.000, 0.948]]
}